Model A:
A relaxed structure of BeCoSiTc, computed with PBE. Values from VASP.

Values from the calculation:
Total magnetic moment ... 0.12 μB per atom

Structure (Quantum ESPRESSO input):
```
&SYSTEM
  ibrav = 0, nat = 4, ntyp = 4
/
ATOMIC_SPECIES
Be 9.01 Be.upf
Co 58.93 Co.upf
Si 28.09 Si.upf
Tc 98.00 Tc.upf
CELL_PARAMETERS angstrom
0.000 2.804 2.804
2.804 0.000 2.804
2.804 2.804 0.000
ATOMIC_POSITIONS crystal
Be 0.500 0.500 0.500
Co 0.750 0.750 0.750
Si 0.000 0.000 0.000
Tc 0.250 0.250 0.250
```

=====

Model B:
A relaxed structure of BeCoSiTc, computed with PBE. Values from VASP.

Values from the calculation:
Total magnetic moment ... 0.39 μB per atom

Structure (Quantum ESPRESSO input):
```
&SYSTEM
  ibrav = 0, nat = 4, ntyp = 4
/
ATOMIC_SPECIES
Be 9.01 Be.upf
Co 58.93 Co.upf
Si 28.09 Si.upf
Tc 98.00 Tc.upf
CELL_PARAMETERS angstrom
0.000 2.832 2.832
2.832 0.000 2.832
2.832 2.832 0.000
ATOMIC_POSITIONS crystal
Be 0.250 0.250 0.250
Co 0.750 0.750 0.750
Si 0.000 0.000 0.000
Tc 0.500 0.500 0.500
```

=====

Most stable structure - model A; separation to the second - 375 meV/atom.

=====

Model A:
A relaxed structure of BeTlCoSi, computed with PBE. Values from VASP.

Values from the calculation:
Total magnetic moment ... 0.01 μB per atom

Structure (Quantum ESPRESSO input):
```
&SYSTEM
  ibrav = 0, nat = 4, ntyp = 4
/
ATOMIC_SPECIES
Be 9.01 Be.upf
Co 58.93 Co.upf
Si 28.09 Si.upf
Tl 204.38 Tl.upf
CELL_PARAMETERS angstrom
3.046 0.471 3.036
-1.036 1.638 3.868
-0.016 -2.550 3.495
ATOMIC_POSITIONS crystal
Be 0.750 0.750 0.750
Co 0.250 0.250 0.250
Si 0.000 0.000 0.000
Tl 0.500 0.500 0.500
```

=====

Model B:
A relaxed structure of BeTlCoSi, computed with PBE. Values from VASP.

Values from the calculation:
Total magnetic moment ... 0.00 μB per atom

Structure (Quantum ESPRESSO input):
```
&SYSTEM
  ibrav = 0, nat = 4, ntyp = 4
/
ATOMIC_SPECIES
Be 9.01 Be.upf
Co 58.93 Co.upf
Si 28.09 Si.upf
Tl 204.38 Tl.upf
CELL_PARAMETERS angstrom
0.000 3.085 3.085
3.085 0.000 3.085
3.085 3.085 0.000
ATOMIC_POSITIONS crystal
Be 0.750 0.750 0.750
Co 0.000 0.000 0.000
Si 0.250 0.250 0.250
Tl 0.500 0.500 0.500
```

=====

Most stable structure - model A; separation to the second - 122 meV/atom.